(1)
TiFeHRu2: optimized geometry, PBE.

It has space group P4/mmm (No. 123), with a = 3.9663 Å, b = 3.9663 Å, c = 3.6254 Å, α = 90.00°, β = 90.00° and γ = 90.00°. The inequivalent atoms are Ti at (0.0000, 0.0000, 0.0000), Fe at (0.5000, 0.5000, 0.0000), H at (0.5000, 0.5000, 0.5000) and Ru at (0.0000, 0.5000, 0.5000).

The crystal system is tetragonal.


(2)
Tl2FeHRu: optimized geometry, PBE.

It has space group P4/mmm (No. 123), with a = 5.1274 Å, b = 5.1274 Å, c = 4.3036 Å, α = 90.00°, β = 90.00° and γ = 90.00°. The inequivalent atoms are Tl at (0.0000, 0.5000, 0.0000), Fe at (0.0000, 0.0000, 0.0000), H at (0.5000, 0.5000, 0.5000) and Ru at (0.0000, 0.0000, 0.5000).

The crystal system is tetragonal.


(3)
VFeHRu2: optimized geometry, PBE.

It has space group P4/mmm (No. 123), with a = 3.7932 Å, b = 3.7932 Å, c = 3.7392 Å, α = 90.00°, β = 90.00° and γ = 90.00°. The inequivalent atoms are V at (0.0000, 0.0000, 0.0000), Fe at (0.5000, 0.5000, 0.0000), H at (0.0000, 0.0000, 0.5000) and Ru at (0.0000, 0.5000, 0.5000).

The crystal system is tetragonal.


(4)
VFe2HRu: optimized geometry, PBE.

It has space group P4/mmm (No. 123), with a = 3.6230 Å, b = 3.6230 Å, c = 3.8149 Å, α = 90.00°, β = 90.00° and γ = 90.00°. The inequivalent atoms are V at (0.0000, 0.0000, 0.0000), Fe at (0.0000, 0.5000, 0.5000), H at (0.0000, 0.0000, 0.5000) and Ru at (0.5000, 0.5000, 0.0000).

The crystal system is tetragonal.


(5)
VFeHRu2: optimized geometry, PBE.

It has space group P4/mmm (No. 123), with a = 3.8599 Å, b = 3.8599 Å, c = 3.6585 Å, α = 90.00°, β = 90.00° and γ = 90.00°. The inequivalent atoms are V at (0.0000, 0.0000, 0.0000), Fe at (0.5000, 0.5000, 0.0000), H at (0.5000, 0.5000, 0.5000) and Ru at (0.0000, 0.5000, 0.5000).

The crystal system is tetragonal.


(6)
VFe2HRu: optimized geometry, PBE.

It has space group P4/mmm (No. 123), with a = 3.6550 Å, b = 3.6550 Å, c = 3.8039 Å, α = 90.00°, β = 90.00° and γ = 90.00°. The inequivalent atoms are V at (0.0000, 0.0000, 0.0000), Fe at (0.0000, 0.5000, 0.5000), H at (0.5000, 0.5000, 0.5000) and Ru at (0.5000, 0.5000, 0.0000).

The crystal system is tetragonal.


Sequential size of the total moment output: 2.315, 1.063, 1.404, 1.705, 1.353, 2.016 μB/f.u.
Sequential total energy output: -0.5760, -0.2941, -0.5828, -0.5731, -0.5855, -0.5723 Ry per atom
Sequential D(E_F) output: 6.1, 4.2, 4.4, 4.5, 4.0, 4.4 states/eV/f.u.